[1]
! Ta2Cr2Sn, relaxed, DFT PBE; values from VASP
&SYSTEM
  ibrav = 0, nat = 10, ntyp = 3
/
ATOMIC_SPECIES
Ta 180.95 Ta.upf
Sn 118.71 Sn.upf
Cr 52.00 Cr.upf
ATOMIC_POSITIONS angstrom
Ta 0.915 2.918 0.000
Ta 4.749 0.915 0.000
Ta 6.752 4.749 0.000
Ta 2.918 6.752 0.000
Sn 0.000 0.000 0.000
Sn 3.834 3.834 0.000
Cr 2.443 1.391 1.508
Cr 5.225 6.277 1.508
Cr 6.277 2.443 1.508
Cr 1.391 5.225 1.508
CELL_PARAMETERS angstrom
7.668 0.000 0.000
0.000 7.668 0.000
0.000 0.000 3.015
! * spin magnetization: 3.7 μB per formula unit
! * formation energy: 2.73 eV/f.u.

=====

[2]
! Ta2CrSn, relaxed, DFT PBE; values from VASP
&SYSTEM
  ibrav = 0, nat = 8, ntyp = 3
/
ATOMIC_SPECIES
Cr 52.00 Cr.upf
Ta 180.95 Ta.upf
Sn 118.71 Sn.upf
ATOMIC_POSITIONS angstrom
Cr -0.165 -6.081 -2.775
Cr 0.683 -0.745 -2.592
Ta -1.853 -8.453 -5.517
Ta -2.521 -7.717 -2.933
Ta 0.674 -3.509 -1.808
Ta -1.676 -2.378 -2.737
Sn -2.524 -4.948 -3.722
Sn 0.000 0.000 0.000
CELL_PARAMETERS angstrom
-1.675 0.388 -3.539
3.041 -1.878 -1.645
-4.055 -9.539 -1.313
! * spin magnetization: 2.6 μB per formula unit
! * formation energy: 2.71 eV/f.u.

=====

[3]
! Ta3CrSn, relaxed, DFT PBE; values from VASP
&SYSTEM
  ibrav = 0, nat = 5, ntyp = 3
/
ATOMIC_SPECIES
Ta 180.95 Ta.upf
Cr 52.00 Cr.upf
Sn 118.71 Sn.upf
ATOMIC_POSITIONS angstrom
Ta -1.284 -1.931 -0.175
Ta 0.847 -0.747 2.033
Ta -1.744 1.059 1.115
Cr 0.000 0.000 0.000
Sn -2.181 -1.619 2.974
CELL_PARAMETERS angstrom
-2.567 -3.862 -0.350
1.694 -1.494 4.066
-3.489 2.117 2.231
! * spin magnetization: 0.0 μB per formula unit
! * formation energy: 3.96 eV/f.u.

=====

[4]
! Ta2Cr2Sn, relaxed, DFT PBE; values from VASP
&SYSTEM
  ibrav = 0, nat = 5, ntyp = 3
/
ATOMIC_SPECIES
Ta 180.95 Ta.upf
Cr 52.00 Cr.upf
Sn 118.71 Sn.upf
ATOMIC_POSITIONS angstrom
Ta 1.598 1.598 2.010
Ta 3.196 3.196 6.463
Cr 3.196 1.598 4.236
Cr 1.598 3.196 4.236
Sn 0.000 0.000 0.000
CELL_PARAMETERS angstrom
3.196 0.000 0.000
0.000 3.196 0.000
1.598 1.598 8.473
! * spin magnetization: 0.0 μB per formula unit
! * formation energy: 2.54 eV/f.u.

=====

[5]
! TaCrSn3, relaxed, DFT PBE; values from VASP
&SYSTEM
  ibrav = 0, nat = 5, ntyp = 3
/
ATOMIC_SPECIES
Sn 118.71 Sn.upf
Ta 180.95 Ta.upf
Cr 52.00 Cr.upf
ATOMIC_POSITIONS angstrom
Sn -1.798 1.384 -1.039
Sn 1.110 2.071 0.840
Sn -1.328 -0.143 2.108
Ta -2.016 3.312 1.909
Cr 0.000 0.000 0.000
CELL_PARAMETERS angstrom
-3.596 2.768 -2.077
-2.656 -0.287 4.216
2.219 4.143 1.680
! * spin magnetization: 0.5 μB per formula unit
! * formation energy: 5.55 eV/f.u.

=====

[6]
! TaTi2CrSn, relaxed, DFT PBE; values from VASP
&SYSTEM
  ibrav = 0, nat = 5, ntyp = 4
/
ATOMIC_SPECIES
Ti 47.87 Ti.upf
Sn 118.71 Sn.upf
Ta 180.95 Ta.upf
Cr 52.00 Cr.upf
ATOMIC_POSITIONS angstrom
Ti 2.425 0.000 0.000
Ti 0.000 0.000 2.425
Sn 2.425 2.237 2.425
Ta 0.000 0.000 0.000
Cr 0.000 2.237 0.000
CELL_PARAMETERS angstrom
4.850 0.000 0.000
0.000 4.474 0.000
0.000 0.000 4.850
! * spin magnetization: 0.0 μB per formula unit
! * formation energy: 5.31 eV/f.u.

=====

[7]
! Cr2TcSn, relaxed, DFT PBE; values from VASP
&SYSTEM
  ibrav = 0, nat = 8, ntyp = 3
/
ATOMIC_SPECIES
Tc 98.00 Tc.upf
Cr 52.00 Cr.upf
Sn 118.71 Sn.upf
ATOMIC_POSITIONS angstrom
Tc -3.764 0.655 7.064
Tc -3.738 -0.006 3.328
Cr -8.965 2.028 8.381
Cr -2.356 0.063 5.252
Cr -4.884 1.244 1.673
Cr -5.278 1.905 5.737
Sn 0.000 0.000 0.000
Sn -6.977 1.965 3.457
CELL_PARAMETERS angstrom
-6.952 1.303 -0.279
-0.525 -1.316 6.935
-3.265 2.633 3.865
! * spin magnetization: 3.6 μB per formula unit
! * formation energy: 2.86 eV/f.u.

=====

[8]
! CrTcSn, relaxed, DFT PBE; values from VASP
&SYSTEM
  ibrav = 0, nat = 6, ntyp = 3
/
ATOMIC_SPECIES
Tc 98.00 Tc.upf
Sn 118.71 Sn.upf
Cr 52.00 Cr.upf
ATOMIC_POSITIONS angstrom
Tc 0.000 0.000 2.896
Tc 2.164 2.164 2.896
Sn 0.000 0.000 5.792
Sn 2.164 2.164 0.000
Cr 2.164 0.000 4.004
Cr 0.000 2.164 1.788
CELL_PARAMETERS angstrom
4.329 0.000 0.000
0.000 4.328 0.000
0.000 0.000 5.792
! * spin magnetization: 0.5 μB per formula unit
! * formation energy: 0.84 eV/f.u.

=====

[9]
! Cr3TcSn, relaxed, DFT PBE; values from VASP
&SYSTEM
  ibrav = 0, nat = 5, ntyp = 3
/
ATOMIC_SPECIES
Tc 98.00 Tc.upf
Sn 118.71 Sn.upf
Cr 52.00 Cr.upf
ATOMIC_POSITIONS angstrom
Tc 0.000 0.000 0.000
Sn -3.051 -1.306 2.307
Cr -1.568 -1.611 -0.625
Cr -1.713 1.337 0.852
Cr 0.230 -1.032 2.081
CELL_PARAMETERS angstrom
-3.426 2.673 1.704
-3.137 -3.222 -1.251
0.460 -2.063 4.161
! * spin magnetization: 8.4 μB per formula unit
! * formation energy: 5.54 eV/f.u.

=====

[10]
! Cr3TcSn, relaxed, DFT PBE; values from VASP
&SYSTEM
  ibrav = 0, nat = 5, ntyp = 3
/
ATOMIC_SPECIES
Cr 52.00 Cr.upf
Tc 98.00 Tc.upf
Sn 118.71 Sn.upf
ATOMIC_POSITIONS angstrom
Cr 0.619 1.021 1.949
Cr -1.565 -1.219 1.136
Cr -1.547 1.642 -0.369
Tc -2.492 1.444 2.716
Sn 0.000 0.000 0.000
CELL_PARAMETERS angstrom
-3.093 3.284 -0.737
-3.130 -2.438 2.271
1.239 2.042 3.898
! * spin magnetization: 0.0 μB per formula unit
! * formation energy: 12.36 eV/f.u.

=====

[11]
! VCrTcSn, relaxed, DFT PBE; values from VASP
&SYSTEM
  ibrav = 0, nat = 4, ntyp = 4
/
ATOMIC_SPECIES
Cr 52.00 Cr.upf
Tc 98.00 Tc.upf
Sn 118.71 Sn.upf
V 50.94 V.upf
ATOMIC_POSITIONS angstrom
Cr 0.000 0.000 0.000
Tc -4.867 -2.381 0.023
Sn -2.433 -1.190 0.012
V -7.300 -3.571 0.035
CELL_PARAMETERS angstrom
-3.192 -1.720 -2.535
-2.300 -3.504 1.414
-4.242 0.463 1.167
! * spin magnetization: 2.0 μB per formula unit
! * formation energy: 0.03 eV/f.u.

=====

[12]
! Cr2TcSnW, relaxed, DFT PBE; values from VASP
&SYSTEM
  ibrav = 0, nat = 5, ntyp = 4
/
ATOMIC_SPECIES
Cr 52.00 Cr.upf
Sn 118.71 Sn.upf
Tc 98.00 Tc.upf
W 183.84 W.upf
ATOMIC_POSITIONS angstrom
Cr -1.150 1.663 1.177
Cr 1.959 1.273 0.115
Sn 1.376 1.880 3.337
Tc 0.567 -1.056 2.045
W 0.000 0.000 0.000
CELL_PARAMETERS angstrom
-2.299 3.326 2.354
1.133 -2.112 4.090
3.918 2.547 0.229
! * spin magnetization: 5.5 μB per formula unit
! * formation energy: 6.97 eV/f.u.